# 1
# Li2CaTc | the Alexandria database | PBE-GGA | relaxed
data_Li2CaTc
_cell_length_a 2.8043
_cell_length_b 2.8043
_cell_length_c 9.8683
_cell_angle_alpha 90.00
_cell_angle_beta 90.00
_cell_angle_gamma 90.00
_symmetry_space_group_name_H-M 'P 4 m m'
_symmetry_Int_Tables_number 99
_symmetry_space_group_name_Hall 'P 4 -2'
loop_
_atom_site_label
_atom_site_fract_x
_atom_site_fract_y
_atom_site_fract_z
Li1 0.0000 0.0000 0.0000
Li2 0.5000 0.5000 0.2527
Ca1 0.5000 0.5000 0.7034
Tc1 0.0000 0.0000 0.4627
# - Energy relative to the lowest polymorph listed for this composition: 15 meV per atom
# - Final energy: -14.4 eV for the cell shown

# 2
# LiCaTc3 | the Alexandria database | PBE-GGA | relaxed
data_LiCaTc3
_cell_length_a 4.3537
_cell_length_b 4.3537
_cell_length_c 4.3537
_cell_angle_alpha 90.00
_cell_angle_beta 90.00
_cell_angle_gamma 90.00
_symmetry_space_group_name_H-M 'P m -3 m'
_symmetry_Int_Tables_number 221
_symmetry_space_group_name_Hall '-P 4 2 3'
loop_
_atom_site_label
_atom_site_fract_x
_atom_site_fract_y
_atom_site_fract_z
Li1 0.0000 0.0000 0.0000
Ca1 0.5000 0.5000 0.5000
Tc1 0.0000 0.0000 0.5000
# - Energy relative to the lowest polymorph listed for this composition: 0 meV per atom
# - Final energy: -28.6 eV for the cell shown

# 3
# Li2CaTc | the Alexandria database | PBE-GGA | relaxed
data_Li2CaTc
_cell_length_a 3.7037
_cell_length_b 4.2949
_cell_length_c 9.8275
_cell_angle_alpha 90.00
_cell_angle_beta 90.00
_cell_angle_gamma 90.00
_symmetry_space_group_name_H-M 'C m m 2'
_symmetry_Int_Tables_number 35
_symmetry_space_group_name_Hall 'C 2 -2'
loop_
_atom_site_label
_atom_site_fract_x
_atom_site_fract_y
_atom_site_fract_z
Li1 0.0000 0.0000 0.0000
Li2 0.0000 0.5000 0.2542
Ca1 0.0000 0.5000 0.6996
Tc1 0.0000 0.0000 0.4615
# - Energy relative to the lowest polymorph listed for this composition: 14 meV per atom
# - Final energy: -28.8 eV for the cell shown

| no. | DOS at the Fermi energy (states/eV/f.u.) |
| --- | --- |
| 1 | 3.5 |
| 2 | 6.7 |
| 3 | 3.3 |